# 1
The following is a DFT calculation (GGA-PBE) of an optimized crystal structure of NiN6Cl2.

It has space group Fm-3m (No. 225), with a = 7.7961 Å, b = 7.7961 Å, c = 7.7961 Å, α = 90.00°, β = 90.00° and γ = 90.00°. The asymmetric unit holds Ni at (0.0000, 0.0000, 0.0000), N at (0.0000, 0.0000, 0.2357) and Cl at (0.2500, 0.2500, 0.2500).

The calculation puts the energy relative to the elements, uncorrected at 2.86 eV per atom. The calculation puts the raw total energy at -3.7433 eV/atom.

---

# 2
The following is a DFT calculation (GGA-PBE) of an optimized crystal structure of NiP2NCl.

It has space group P4/mmm (No. 123), with a = 4.3628 Å, b = 4.3628 Å, c = 4.3961 Å, α = 90.00°, β = 90.00° and γ = 90.00°. The asymmetric unit holds Ni at (0.0000, 0.0000, 0.0000), P at (0.0000, 0.5000, 0.0000), N at (0.5000, 0.5000, 0.5000) and Cl at (0.0000, 0.0000, 0.5000).

The calculation puts the energy relative to the elements, uncorrected at 1.56 eV per atom. The calculation puts the raw total energy at -3.7936 eV/atom.

---

# 3
The following is a DFT calculation (GGA-PBE) of an optimized crystal structure of NiP2NCl.

It has space group P4/mmm (No. 123), with a = 3.9652 Å, b = 3.9652 Å, c = 4.3785 Å, α = 90.00°, β = 90.00° and γ = 90.00°. The asymmetric unit holds Ni at (0.0000, 0.0000, 0.0000), P at (0.0000, 0.5000, 0.5000), N at (0.5000, 0.5000, 0.5000) and Cl at (0.5000, 0.5000, 0.0000).

The calculation puts the energy relative to the elements, uncorrected at 1.20 eV per atom. The calculation puts the raw total energy at -4.1557 eV/atom.